# 1
Here is an optimized crystal structure of PaInB12 from Alexandria. Energies are from PBE.

a = 4.140 Å, b = 4.140 Å, c = 8.392 Å
α = 90.00°, β = 90.00°, γ = 90.00°
Space group P4/mmm (No. 123)
Unique sites:
1 Pa 0.000 0.000 0.000 x1
2 In 0.000 0.000 0.500 x1
3 B 0.200 0.500 0.243 x8
4 B 0.500 0.500 0.097 x2
5 B 0.500 0.500 0.396 x2

Values from the calculation:
As for the crystal system: tetragonal. As for the formation energy: -84 meV/atom.

# 2
Here is an optimized crystal structure of ZrMn2Ni2 from Alexandria. Energies are from PBE.

a = 3.776 Å, b = 3.776 Å, c = 9.600 Å
α = 90.00°, β = 90.00°, γ = 90.00°
Space group I4/mmm (No. 139)
Unique sites:
1 Zr 0.000 0.000 0.000 x2
2 Mn 0.000 0.000 0.398 x4
3 Ni 0.000 0.500 0.250 x4

Values from the calculation:
Its energy above the most stable polymorph in this dataset is 0.023 eV per atom. As for the crystal system: tetragonal. As for the formation energy: -20 meV/atom.

# 3
Here is an optimized crystal structure of LiOs2Au from Alexandria. Energies are from PBE.

a = 2.748 Å, b = 4.615 Å, c = 9.641 Å
α = 90.00°, β = 90.00°, γ = 90.00°
Space group Cmmm (No. 65)
Unique sites:
1 Li 0.000 0.000 0.000 x2
2 Os 0.000 0.500 0.238 x4
3 Au 0.000 0.000 0.500 x2

Values from the calculation:
Its energy above the most stable polymorph in this dataset is 0.424 eV per atom. As for the crystal system: orthorhombic. As for the formation energy: 558 meV/atom.

# 4
Here is an optimized crystal structure of Ca2Sm2GaPd4 from Alexandria. Energies are from PBE.

a = 6.982 Å, b = 6.982 Å, c = 8.759 Å
α = 90.00°, β = 90.00°, γ = 90.00°
Space group I4/mmm (No. 139)
Unique sites:
1 Ca 0.000 0.500 0.250 x4
2 Sm 0.000 0.000 0.181 x4
3 Ga 0.000 0.000 0.500 x2
4 Pd 0.247 0.247 0.000 x8

Values from the calculation:
As for the crystal system: tetragonal. As for the formation energy: -459 meV/atom.

# 5
Here is an optimized crystal structure of Tb3Dy5Sc2 from Alexandria. Energies are from PBE.

a = 10.575 Å, b = 15.709 Å, c = 9.172 Å
α = 90.00°, β = 125.15°, γ = 90.00°
Space group C2/c (No. 15)
Unique sites:
1 Tb 0.000 0.016 0.250 x4
2 Tb 0.153 0.373 0.547 x8
3 Dy 0.000 0.219 0.250 x4
4 Dy 0.000 0.281 0.750 x4
5 Dy 0.000 0.478 0.750 x4
6 Dy 0.244 0.360 0.232 x8
7 Sc 0.144 0.134 0.046 x8

Values from the calculation:
As for the crystal system: monoclinic. As for the formation energy: 199 meV/atom.

# 6
Here is an optimized crystal structure of Rb2HfSnCl6 from Alexandria. Energies are from PBE.

a = 7.527 Å, b = 7.527 Å, c = 12.924 Å
α = 90.00°, β = 90.00°, γ = 90.00°
Space group I4/mmm (No. 139)
Unique sites:
1 Rb 0.000 0.500 0.250 x4
2 Hf 0.000 0.000 0.000 x2
3 Sn 0.000 0.000 0.500 x2
4 Cl 0.000 0.000 0.194 x4
5 Cl 0.231 0.231 0.000 x8

Values from the calculation:
As for the crystal system: tetragonal. Its energy relative to the elements, uncorrected is -1392 kJ/mol of formula units.

# 7
Here is an optimized crystal structure of Nd2TmGa2 from Alexandria. Energies are from PBE.

a = 12.060 Å, b = 4.662 Å, c = 11.077 Å
α = 90.00°, β = 120.04°, γ = 90.00°
Space group C2/m (No. 12)
Unique sites:
1 Nd 0.024 0.000 0.187 x4
2 Nd 0.189 0.000 0.602 x4
3 Tm 0.208 0.500 0.861 x4
4 Ga 0.037 0.500 0.407 x4
5 Ga 0.125 0.500 0.073 x4

Values from the calculation:
Its energy above the most stable polymorph in this dataset is 0.046 eV per atom. As for the crystal system: monoclinic. As for the formation energy: -467 meV/atom.

# 8
Here is an optimized crystal structure of ZnGeF3 from Alexandria. Energies are from PBE.

a = 4.327 Å, b = 4.327 Å, c = 4.327 Å
α = 90.00°, β = 90.00°, γ = 90.00°
Space group Pm-3m (No. 221)
Unique sites:
1 Zn 0.000 0.000 0.000 x1
2 Ge 0.500 0.500 0.500 x1
3 F 0.000 0.500 0.500 x3

Values from the calculation:
Its energy above the most stable polymorph in this dataset is 0.401 eV per atom. As for the crystal system: cubic. Its energy relative to the elements, uncorrected is -695 kJ/mol of formula units.

# 9
Here is an optimized crystal structure of BiSbW3 from Alexandria. Energies are from PBE.

a = 5.058 Å, b = 5.058 Å, c = 5.058 Å
α = 90.00°, β = 90.00°, γ = 90.00°
Space group Pm-3m (No. 221)
Unique sites:
1 Bi 0.000 0.000 0.000 x1
2 Sb 0.500 0.500 0.500 x1
3 W 0.000 0.000 0.500 x3

Values from the calculation:
Its energy above the most stable polymorph in this dataset is 0.592 eV per atom. As for the crystal system: cubic. Its energy relative to the elements, uncorrected is 1437 kJ/mol of formula units.

# 10
Here is an optimized crystal structure of Sm2PuSi3Ir4 from Alexandria. Energies are from PBE.

a = 4.161 Å, b = 4.161 Å, c = 10.798 Å
α = 90.00°, β = 90.00°, γ = 90.00°
Space group P-4m2 (No. 115)
Unique sites:
1 Sm 0.000 0.500 0.231 x2
2 Pu 0.000 0.000 0.500 x1
3 Si 0.000 0.500 0.881 x2
4 Si 0.500 0.500 0.500 x1
5 Ir 0.000 0.000 0.000 x1
6 Ir 0.000 0.500 0.658 x2
7 Ir 0.500 0.500 0.000 x1

Values from the calculation:
As for the crystal system: tetragonal. Its energy relative to the elements, uncorrected is -857 kJ/mol of formula units.

# 11
Here is an optimized crystal structure of BaNiTe from Alexandria. Energies are from PBE.

a = 5.401 Å, b = 9.414 Å, c = 7.090 Å
α = 90.00°, β = 90.00°, γ = 90.00°
Space group Imma (No. 74)
Unique sites:
1 Ba 0.000 0.000 0.000 x4
2 Ni 0.250 0.250 0.250 x4
3 Te 0.000 0.250 0.543 x4

Values from the calculation:
As for the crystal system: orthorhombic. Its energy relative to the elements, uncorrected is -237 kJ/mol of formula units.

# 12
Here is an optimized crystal structure of Pm6Nd2Ho from Alexandria. Energies are from PBE.

a = 16.676 Å, b = 11.839 Å, c = 6.241 Å
α = 90.00°, β = 96.34°, γ = 90.00°
Space group C2/c (No. 15)
Unique sites:
1 Pm 0.048 0.141 0.013 x8
2 Pm 0.115 0.360 0.320 x8
3 Pm 0.210 0.363 0.852 x8
4 Nd 0.168 0.100 0.577 x8
5 Ho 0.000 0.401 0.750 x4

Values from the calculation:
Its energy above the most stable polymorph in this dataset is 0.029 eV per atom. As for the crystal system: monoclinic. As for the formation energy: 83 meV/atom.

# 13
Here is an optimized crystal structure of LaPrThCd from Alexandria. Energies are from PBE.

a = 7.974 Å, b = 7.974 Å, c = 7.974 Å
α = 90.00°, β = 90.00°, γ = 90.00°
Space group F-43m (No. 216)
Unique sites:
1 La 0.000 0.000 0.000 x4
2 Pr 0.000 0.000 0.500 x4
3 Th 0.250 0.250 0.750 x4
4 Cd 0.250 0.250 0.250 x4

Values from the calculation:
As for the crystal system: cubic. As for the formation energy: 61 meV/atom.

# 14
Here is an optimized crystal structure of CaRhF from Alexandria. Energies are from PBE.

a = 6.603 Å, b = 4.357 Å, c = 8.132 Å
α = 90.00°, β = 106.41°, γ = 90.00°
Space group C2/m (No. 12)
Unique sites:
1 Ca 0.092 0.000 0.297 x4
2 Rh 0.182 0.500 0.988 x4
3 F 0.214 0.000 0.596 x4

Values from the calculation:
Its energy above the most stable polymorph in this dataset is 0.037 eV per atom. As for the crystal system: monoclinic. Its energy relative to the elements, uncorrected is -545 kJ/mol of formula units.

# 15
Here is an optimized crystal structure of Nd2Tm3Sc4 from Alexandria. Energies are from PBE.

a = 15.900 Å, b = 11.151 Å, c = 5.839 Å
α = 90.00°, β = 96.80°, γ = 90.00°
Space group C2/c (No. 15)
Unique sites:
1 Nd 0.127 0.144 0.314 x8
2 Tm 0.000 0.108 0.750 x4
3 Tm 0.162 0.402 0.615 x8
4 Sc 0.044 0.367 0.022 x8
5 Sc 0.224 0.140 0.846 x8

Values from the calculation:
As for the crystal system: monoclinic. As for the formation energy: 108 meV/atom.

# 16
Here is an optimized crystal structure of Rb2FeIr from Alexandria. Energies are from PBE.

a = 8.071 Å, b = 8.071 Å, c = 8.071 Å
α = 90.00°, β = 90.00°, γ = 90.00°
Space group Fm-3m (No. 225)
Unique sites:
1 Rb 0.250 0.250 0.250 x8
2 Fe 0.000 0.000 0.000 x4
3 Ir 0.000 0.000 0.500 x4

Values from the calculation:
Its energy above the most stable polymorph in this dataset is 0.709 eV per atom. As for the crystal system: cubic. As for the formation energy: 1640 meV/atom.

# 17
Here is an optimized crystal structure of Y2Au2Cl from Alexandria. Energies are from PBE.

a = 7.730 Å, b = 7.730 Å, c = 4.106 Å
α = 90.00°, β = 90.00°, γ = 90.00°
Space group P4/mbm (No. 127)
Unique sites:
1 Y 0.170 0.330 0.000 x4
2 Au 0.129 0.629 0.500 x4
3 Cl 0.000 0.000 0.000 x2

Values from the calculation:
As for the crystal system: tetragonal. Its energy relative to the elements, uncorrected is -500 kJ/mol of formula units.

# 18
Here is an optimized crystal structure of HgRuBr2 from Alexandria. Energies are from PBE.

a = 7.758 Å, b = 7.758 Å, c = 8.952 Å
α = 90.00°, β = 90.00°, γ = 90.00°
Space group I-42d (No. 122)
Unique sites:
1 Hg 0.000 0.000 0.000 x4
2 Ru 0.000 0.000 0.500 x4
3 Br 0.117 0.250 0.625 x8

Values from the calculation:
Its energy above the most stable polymorph in this dataset is 0.287 eV per atom. As for the crystal system: tetragonal. Its energy relative to the elements, uncorrected is 99 kJ/mol of formula units.